# 1
# TiOsPb3

A relaxed TiOsPb3 crystal (PBE, Alexandria via LeMat-Bulk).

The formation energy comes out at 7.23 eV per formula unit. The value obtained for the density of states at the Fermi level is 7.05 states/eV/cell.

It has space group Pm-3m (No. 221), with a = 5.3286 Å, b = 5.3286 Å, c = 5.3286 Å, α = 90.00°, β = 90.00° and γ = 90.00°. The distinct sites, in fractional coordinates, are Ti at (0.0000, 0.0000, 0.0000), Os at (0.5000, 0.5000, 0.5000) and Pb at (0.0000, 0.0000, 0.5000).



# 2
# LaHf2As2

A relaxed LaHf2As2 crystal (PBE, Alexandria via LeMat-Bulk).

The formation energy comes out at -3.41 eV per formula unit. The value obtained for the density of states at the Fermi level is 8.25 states/eV/cell.

It has space group I4/mmm (No. 139), with a = 5.0573 Å, b = 5.0573 Å, c = 9.4473 Å, α = 90.00°, β = 90.00° and γ = 90.00°. The distinct sites, in fractional coordinates, are La at (0.0000, 0.0000, 0.0000), Hf at (0.0000, 0.0000, 0.3447) and As at (0.0000, 0.5000, 0.2500).



# 3
# CdSiTc2F

A relaxed CdSiTc2F crystal (PBE, Alexandria via LeMat-Bulk).

The formation energy (no corrections) comes out at 782 meV per atom. The value obtained for the density of states at the Fermi level is 5.17 states/eV/cell.

It has space group P4/mmm (No. 123), with a = 4.2100 Å, b = 4.2100 Å, c = 4.6164 Å, α = 90.00°, β = 90.00° and γ = 90.00°. The distinct sites, in fractional coordinates, are Cd at (0.0000, 0.0000, 0.0000), Si at (0.5000, 0.5000, 0.0000), Tc at (0.0000, 0.5000, 0.5000) and F at (0.0000, 0.0000, 0.5000).



# 4
# Tb2NdDy4

A relaxed Tb2NdDy4 crystal (PBE, Alexandria via LeMat-Bulk).

The formation energy comes out at 0.88 eV per formula unit. The value obtained for the density of states at the Fermi level is 23.40 states/eV/cell.

It has space group P2_1/m (No. 11), with a = 6.0794 Å, b = 6.5968 Å, c = 11.5808 Å, α = 90.00°, β = 104.02° and γ = 90.00°. The distinct sites, in fractional coordinates, are Tb at (0.1012, 0.2500, 0.4918), Tb at (0.3430, 0.7500, 0.0510), Nd at (0.4627, 0.7500, 0.6383), Dy at (0.1525, 0.0083, 0.7895), Dy at (0.2185, 0.2500, 0.0761) and Dy at (0.3541, 0.7500, 0.3366).



# 5
# MnFeAg2

A relaxed MnFeAg2 crystal (PBE, Alexandria via LeMat-Bulk).

The formation energy comes out at 1.58 eV per formula unit. The value obtained for the density of states at the Fermi level is 3.61 states/eV/cell.

It has space group Pmmm (No. 47), with a = 2.8349 Å, b = 4.0003 Å, c = 5.5436 Å, α = 90.00°, β = 90.00° and γ = 90.00°. The distinct sites, in fractional coordinates, are Mn at (0.0000, 0.0000, 0.0000), Fe at (0.0000, 0.0000, 0.5000) and Ag at (0.5000, 0.5000, 0.2526).



# 6
# ScAl3Ga2

A relaxed ScAl3Ga2 crystal (PBE, Alexandria via LeMat-Bulk).

The formation energy comes out at -1.58 eV per formula unit. The value obtained for the density of states at the Fermi level is 10.26 states/eV/cell.

It has space group C2/c (No. 15), with a = 5.7394 Å, b = 9.1696 Å, c = 7.9330 Å, α = 90.00°, β = 90.55° and γ = 90.00°. The distinct sites, in fractional coordinates, are Sc at (0.0000, 0.1183, 0.2500), Al at (0.0000, 0.3827, 0.7500), Al at (0.2394, 0.3725, 0.0845) and Ga at (0.2469, 0.3730, 0.4170).



# 7
# V6MoPt

A relaxed V6MoPt crystal (PBE, Alexandria via LeMat-Bulk).

The formation energy comes out at -0.59 eV per formula unit. The value obtained for the density of states at the Fermi level is 18.25 states/eV/cell.

It has space group C2 (No. 5), with a = 5.1429 Å, b = 10.1174 Å, c = 4.5624 Å, α = 90.00°, β = 107.11° and γ = 90.00°. The distinct sites, in fractional coordinates, are V at (0.0000, 0.0000, 0.0000), V at (0.0000, 0.3657, 0.5000), V at (0.2375, 0.1216, 0.4978), V at (0.2502, 0.2415, 0.9893), Mo at (0.0000, 0.8661, 0.5000) and Pt at (0.0000, 0.4911, 0.0000).



# 8
# PuP2O6F2

A relaxed PuP2O6F2 crystal (PBE, Alexandria via LeMat-Bulk).

The formation energy (no corrections) comes out at -2594 meV per atom. The value obtained for the density of states at the Fermi level is 3.62 states/eV/cell.

It has space group P-3m1 (No. 164), with a = 5.7396 Å, b = 5.7396 Å, c = 6.2179 Å, α = 90.00°, β = 90.00° and γ = 120.00°. The distinct sites, in fractional coordinates, are Pu at (0.0000, 0.0000, 0.0000), P at (0.3333, 0.6667, 0.7375), O at (0.1853, 0.3706, 0.8014) and F at (0.3333, 0.6667, 0.4846).